The following is a DFT calculation (GGA-PBE) of a relaxed Ba2LaAl crystal.

Cell: 5.9557 5.9557 5.9557 Å, 60.00 60.00 60.00°
Closest atoms and distances in Å follow each position.
Atoms (fractional coordinates):
Ba (0.0000, 0.0000, 0.0000)  4 La 3.65, 4 Ba 3.65
Ba (0.2500, 0.2500, 0.2500)  4 Ba 3.65, 4 Al 3.65
La (0.7500, 0.7500, 0.7500)  4 Al 3.65, 4 Ba 3.65
Al (0.5000, 0.5000, 0.5000)  4 Ba 3.65, 4 La 3.65

Output
Its crystal system is cubic. For the energy of formation, the calculation gives 154 meV/atom. As for the space-group type: F-43m, No. 216.

The following is a DFT calculation (GGA-PBE) of a relaxed Ga5Hg12Ge3 crystal.

Cell: 14.1519 14.1519 14.1519 Å, 109.47 109.47 109.47°
Closest atoms and distances in Å follow each position.
Atoms (fractional coordinates):
Ga (0.2500, 0.8750, 0.1250)  4 Hg 2.67
Ga (0.7500, 0.6250, 0.3750)  4 Hg 2.67
Ga (0.3750, 0.2500, 0.1250)  4 Hg 2.67
Ga (0.6250, 0.8750, 0.2500)  4 Hg 2.67
Ga (0.1250, 0.7500, 0.3750)  4 Hg 2.67
Ga (0.2500, 0.3750, 0.6250)  4 Hg 2.67
Ga (0.5000, 0.0000, 0.5000)  6 Hg 2.84
Ga (0.5000, 0.5000, 0.0000)  6 Hg 2.84
Ga (0.3750, 0.1250, 0.7500)  4 Hg 2.67
Ga (0.7500, 0.1250, 0.8750)  4 Hg 2.67
Ga (0.5000, 0.5000, 0.5000)  6 Hg 2.84
Ga (0.8750, 0.2500, 0.6250)  4 Hg 2.67
Ga (0.0000, 0.5000, 0.0000)  6 Hg 2.84
Ga (0.5000, 0.0000, 0.0000)  6 Hg 2.84
Ga (0.8750, 0.6250, 0.7500)  4 Hg 2.67
Ga (0.0000, 0.5000, 0.5000)  6 Hg 2.84
Ga (0.6250, 0.7500, 0.8750)  4 Hg 2.67
Ga (0.0000, 0.0000, 0.5000)  6 Hg 2.84
Ga (0.1250, 0.3750, 0.2500)  4 Hg 2.67
Ga (0.0000, 0.0000, 0.0000)  6 Hg 2.84
Hg (0.8262, 0.9284, 0.0589)  2 Ga 2.67-2.84, 1 Ge 2.83
Hg (0.9411, 0.3695, 0.2673)  2 Ga 2.67-2.84, 1 Ge 2.83
Hg (0.2327, 0.5589, 0.6305)  2 Ga 2.67-2.84, 1 Ge 2.83
Hg (0.1738, 0.1022, 0.7327)  2 Ga 2.67-2.84, 1 Ge 2.83
Hg (0.7327, 0.1305, 0.0589)  2 Ga 2.67-2.84, 1 Ge 2.83
Hg (0.1305, 0.3978, 0.0716)  2 Ga 2.67-2.84, 1 Ge 2.83
Hg (0.0716, 0.8978, 0.1305)  2 Ga 2.67-2.84, 1 Ge 2.83
Hg (0.6022, 0.7327, 0.6738)  2 Ga 2.67-2.84, 1 Ge 2.83
Hg (0.9284, 0.1022, 0.8695)  2 Ga 2.67-2.84, 1 Ge 2.83
Hg (0.4284, 0.0589, 0.3262)  2 Ga 2.67-2.84, 1 Ge 2.83
Hg (0.2327, 0.6738, 0.1022)  2 Ga 2.67-2.84, 1 Ge 2.83
Hg (0.1022, 0.1738, 0.2327)  2 Ga 2.67-2.84, 1 Ge 2.83
Hg (0.4284, 0.3695, 0.6022)  2 Ga 2.67-2.84, 1 Ge 2.83
Hg (0.1305, 0.7327, 0.5589)  2 Ga 2.67-2.84, 1 Ge 2.83
Hg (0.2673, 0.8695, 0.9411)  2 Ga 2.67-2.84, 1 Ge 2.83
Hg (0.8978, 0.0716, 0.6305)  2 Ga 2.67-2.84, 1 Ge 2.83
Hg (0.3695, 0.9411, 0.7673)  2 Ga 2.67-2.84, 1 Ge 2.83
Hg (0.3262, 0.5589, 0.4284)  2 Ga 2.67-2.84, 1 Ge 2.83
Hg (0.3978, 0.1305, 0.5716)  2 Ga 2.67-2.84, 1 Ge 2.83
Hg (0.6022, 0.8695, 0.4284)  2 Ga 2.67-2.84, 1 Ge 2.83
Hg (0.6738, 0.2327, 0.6022)  2 Ga 2.67-2.84, 1 Ge 2.83
Hg (0.6305, 0.5716, 0.8978)  2 Ga 2.67-2.84, 1 Ge 2.83
Hg (0.0716, 0.1738, 0.4411)  2 Ga 2.67-2.84, 1 Ge 2.83
Hg (0.1022, 0.9284, 0.3695)  2 Ga 2.67-2.84, 1 Ge 2.83
Hg (0.1738, 0.0716, 0.9411)  2 Ga 2.67-2.84, 1 Ge 2.83
Hg (0.7673, 0.4411, 0.3695)  2 Ga 2.67-2.84, 1 Ge 2.83
Hg (0.8262, 0.8978, 0.2673)  2 Ga 2.67-2.84, 1 Ge 2.83
Hg (0.0589, 0.4284, 0.8262)  2 Ga 2.67-2.84, 1 Ge 2.83
Hg (0.5716, 0.9411, 0.6738)  2 Ga 2.67-2.84, 1 Ge 2.83
Hg (0.4411, 0.7673, 0.8695)  2 Ga 2.67-2.84, 1 Ge 2.83
Hg (0.8695, 0.6022, 0.9284)  2 Ga 2.67-2.84, 1 Ge 2.83
Hg (0.6305, 0.0589, 0.2327)  2 Ga 2.67-2.84, 1 Ge 2.83
Hg (0.3978, 0.2673, 0.3262)  2 Ga 2.67-2.84, 1 Ge 2.83
Hg (0.9411, 0.5716, 0.1738)  2 Ga 2.67-2.84, 1 Ge 2.83
Hg (0.2673, 0.3978, 0.8262)  2 Ga 2.67-2.84, 1 Ge 2.83
Hg (0.0589, 0.6305, 0.7327)  2 Ga 2.67-2.84, 1 Ge 2.83
Hg (0.7327, 0.6022, 0.1738)  2 Ga 2.67-2.84, 1 Ge 2.83
Hg (0.5716, 0.6305, 0.3978)  2 Ga 2.67-2.84, 1 Ge 2.83
Hg (0.8978, 0.8262, 0.7673)  2 Ga 2.67-2.84, 1 Ge 2.83
Hg (0.6738, 0.4411, 0.5716)  2 Ga 2.67-2.84, 1 Ge 2.83
Hg (0.3262, 0.7673, 0.3978)  2 Ga 2.67-2.84, 1 Ge 2.83
Hg (0.8695, 0.2673, 0.4411)  2 Ga 2.67-2.84, 1 Ge 2.83
Hg (0.3695, 0.4284, 0.1022)  2 Ga 2.67-2.84, 1 Ge 2.83
Hg (0.7673, 0.3262, 0.8978)  2 Ga 2.67-2.84, 1 Ge 2.83
Hg (0.9284, 0.8262, 0.5589)  2 Ga 2.67-2.84, 1 Ge 2.83
Hg (0.5589, 0.2327, 0.1305)  2 Ga 2.67-2.84, 1 Ge 2.83
Hg (0.5589, 0.3262, 0.9284)  2 Ga 2.67-2.84, 1 Ge 2.83
Hg (0.4411, 0.6738, 0.0716)  2 Ga 2.67-2.84, 1 Ge 2.83
Ge (0.2500, 0.1250, 0.3750)  4 Hg 2.83
Ge (0.7500, 0.8750, 0.6250)  4 Hg 2.83
Ge (0.6250, 0.3750, 0.7500)  4 Hg 2.83
Ge (0.1250, 0.2500, 0.8750)  4 Hg 2.83
Ge (0.8750, 0.1250, 0.2500)  4 Hg 2.83
Ge (0.8750, 0.7500, 0.1250)  4 Hg 2.83
Ge (0.3750, 0.6250, 0.2500)  4 Hg 2.83
Ge (0.7500, 0.3750, 0.1250)  4 Hg 2.83
Ge (0.1250, 0.8750, 0.7500)  4 Hg 2.83
Ge (0.6250, 0.2500, 0.3750)  4 Hg 2.83
Ge (0.3750, 0.7500, 0.6250)  4 Hg 2.83
Ge (0.2500, 0.6250, 0.8750)  4 Hg 2.83

Output
Its crystal system is cubic. For the energy of formation, the calculation gives 212 meV/atom. As for the space-group type: Ia-3d, No. 230.

The following is a DFT calculation (GGA-PBE) of a relaxed NbCdRe2S crystal.

Cell: 4.8003 4.8003 5.4015 Å, 90.00 90.00 90.00°
Closest atoms and distances in Å follow each position.
Atoms (fractional coordinates):
S (0.5000, 0.5000, 0.5000)  4 Cd 3.39, 8 Re 3.61
Re (0.0000, 0.5000, 0.0000)  2 Nb 2.40
Re (0.5000, 0.0000, 0.0000)  2 Nb 2.40
Cd (0.0000, 0.0000, 0.5000)  2 Nb 2.70
Nb (0.0000, 0.0000, 0.0000)  4 Re 2.40

Output
Its crystal system is tetragonal. The uncorrected formation energy is 2.20 eV/atom. As for the space-group type: P4/mmm, No. 123.

The following is a DFT calculation (GGA-PBE) of a relaxed Na2ErZr2Se6 crystal.

Cell: 6.7808 6.7808 7.5348 Å, 98.46 98.46 120.28°
Closest atoms and distances in Å follow each position.
Atoms (fractional coordinates):
Zr (0.3332, 0.6668, 0.5000)  6 Se 2.74-2.75
Zr (0.6668, 0.3332, 0.5000)  6 Se 2.74-2.75
Se (0.9263, 0.5833, 0.2765)  2 Zr 2.74-2.75, 1 Er 2.83, 2 Na 2.99-3.02
Se (0.4167, 0.0737, 0.7235)  2 Zr 2.74-2.75, 1 Er 2.83, 2 Na 2.99-3.02
Se (0.5833, 0.9263, 0.2765)  2 Zr 2.74-2.75, 1 Er 2.83, 2 Na 2.99-3.02
Se (0.0737, 0.4167, 0.7235)  2 Zr 2.74-2.75, 1 Er 2.83, 2 Na 2.99-3.02
Se (0.7278, 0.7278, 0.7235)  2 Zr 2.74, 1 Er 2.84, 2 Na 3.03
Se (0.2722, 0.2722, 0.2765)  2 Zr 2.74, 1 Er 2.84, 2 Na 3.03
Na (0.1636, 0.8364, 0.0000)  6 Se 2.99-3.03
Na (0.8364, 0.1636, 0.0000)  6 Se 2.99-3.03
Er (0.0000, 0.0000, 0.5000)  6 Se 2.83-2.84

Output
Its crystal system is monoclinic. The uncorrected formation energy is -1.45 eV/atom. As for the space-group type: C2/m, No. 12.

The following is a DFT calculation (GGA-PBE) of a relaxed Ba2MnSnSb crystal.

Cell: 5.8045 4.8964 5.8045 Å, 90.00 90.00 90.00°
Closest atoms and distances in Å follow each position.
Atoms (fractional coordinates):
Ba (0.0000, 0.0000, 0.5000)  2 Mn 2.90
Ba (0.5000, 0.0000, 0.0000)  2 Mn 2.90
Sn (0.5000, 0.5000, 0.5000)  8 Ba 3.80, 4 Sb 4.10
Sb (0.0000, 0.5000, 0.0000)  2 Mn 2.45
Mn (0.0000, 0.0000, 0.0000)  2 Sb 2.45

Output
Its crystal system is tetragonal. The uncorrected formation energy is 0.11 eV/atom. As for the space-group type: P4/mmm, No. 123.

The following is a DFT calculation (GGA-PBE) of a relaxed Tl6CdSn12 crystal.

Cell: 8.4143 8.4143 8.4143 Å, 100.53 100.53 100.53°
Closest atoms and distances in Å follow each position.
Atoms (fractional coordinates):
Tl (0.8361, 0.5758, 0.8364)  7 Sn 3.31-3.62, 2 Tl 3.37, 1 Cd 3.50
Tl (0.5758, 0.8364, 0.8361)  7 Sn 3.31-3.62, 2 Tl 3.37, 1 Cd 3.50
Tl (0.1636, 0.1639, 0.4242)  7 Sn 3.31-3.62, 2 Tl 3.37, 1 Cd 3.50
Tl (0.4242, 0.1636, 0.1639)  7 Sn 3.31-3.62, 2 Tl 3.37, 1 Cd 3.50
Tl (0.8364, 0.8361, 0.5758)  7 Sn 3.31-3.62, 2 Tl 3.37, 1 Cd 3.50
Tl (0.1639, 0.4242, 0.1636)  7 Sn 3.31-3.62, 2 Tl 3.37, 1 Cd 3.50
Sn (0.4041, 0.8185, 0.4054)  5 Sn 3.15-3.33
Sn (0.5946, 0.5959, 0.1815)  5 Sn 3.15-3.33
Sn (0.2492, 0.7508, 0.9997)  1 Cd 3.23, 5 Sn 3.23-3.60, 4 Tl 3.31-3.43
Sn (0.7508, 0.9997, 0.2492)  1 Cd 3.23, 5 Sn 3.23-3.60, 4 Tl 3.31-3.43
Sn (0.0003, 0.7508, 0.2492)  1 Cd 3.23, 5 Sn 3.23-3.60, 4 Tl 3.31-3.43
Sn (0.5959, 0.1815, 0.5946)  5 Sn 3.15-3.33
Sn (0.8185, 0.4054, 0.4041)  5 Sn 3.15-3.33
Sn (0.1815, 0.5946, 0.5959)  5 Sn 3.15-3.33
Sn (0.4054, 0.4041, 0.8185)  5 Sn 3.15-3.33
Sn (0.2492, 0.0003, 0.7508)  1 Cd 3.23, 5 Sn 3.23-3.60, 4 Tl 3.31-3.43
Sn (0.7508, 0.2492, 0.0003)  1 Cd 3.23, 5 Sn 3.23-3.60, 4 Tl 3.31-3.43
Sn (0.9997, 0.2492, 0.7508)  1 Cd 3.23, 5 Sn 3.23-3.60, 4 Tl 3.31-3.43
Cd (0.0000, 0.0000, 0.0000)  6 Sn 3.23, 6 Tl 3.50

Output
Its crystal system is trigonal. For the energy of formation, the calculation gives 72 meV/atom. As for the space-group type: R-3, No. 148.

The following is a DFT calculation (GGA-PBE) of a relaxed ZnGaTcN2 crystal.

Cell: 3.7831 4.7585 3.7831 Å, 90.00 90.00 90.00°
Closest atoms and distances in Å follow each position.
Atoms (fractional coordinates):
Zn (0.0000, 0.5000, 0.0000)  2 Ga 2.38
N (0.5000, 0.0000, 0.0000)  2 Ga 1.89
N (0.0000, 0.0000, 0.5000)  2 Ga 1.89
Tc (0.5000, 0.5000, 0.5000)  4 Zn 2.68
Ga (0.0000, 0.0000, 0.0000)  4 N 1.89

Output
Its crystal system is tetragonal. The uncorrected formation energy is 1.70 eV/atom. As for the space-group type: P4/mmm, No. 123.

The following is a DFT calculation (GGA-PBE) of a relaxed Cs2GaPtO4 crystal.

Cell: 5.8784 7.6422 11.1018 Å, 84.16 74.65 67.38°
Closest atoms and distances in Å follow each position.
Atoms (fractional coordinates):
Pt (0.5000, 0.0000, 0.0000)  4 O 1.99
Pt (0.2500, 0.5000, 0.5000)  4 O 1.99
O (0.5971, 0.3179, 0.5059)  1 Ga 1.91, 1 Pt 1.99
O (0.0850, 0.3179, 0.4941)  1 Ga 1.91, 1 Pt 1.99
O (0.6650, 0.1821, 0.0059)  1 Ga 1.91, 1 Pt 1.99
O (0.1529, 0.1821, 0.9941)  1 Ga 1.91, 1 Pt 1.99
O (0.8530, 0.8179, 0.9941)  1 Ga 1.91, 1 Pt 1.99
O (0.4209, 0.6821, 0.4941)  1 Ga 1.91, 1 Pt 1.99
O (0.8970, 0.6821, 0.5059)  1 Ga 1.91, 1 Pt 1.99
O (0.3291, 0.8179, 0.0059)  1 Ga 1.91, 1 Pt 1.99
Cs (0.8270, 0.0000, 0.3460)  2 O 2.82
Cs (0.1730, 0.0000, 0.6540)  2 O 2.82
Cs (0.5770, 0.5000, 0.8460)  2 O 2.82
Cs (0.9230, 0.5000, 0.1540)  2 O 2.82
Ga (0.7500, 0.5000, 0.5000)  4 O 1.91
Ga (0.0000, 0.0000, 0.0000)  4 O 1.91

Output
Its crystal system is orthorhombic. The uncorrected formation energy is -1.17 eV/atom. As for the space-group type: Fddd, No. 70.

The following is a DFT calculation (GGA-PBE) of a relaxed PrTlSe2 crystal.

Cell: 8.1429 8.1429 8.1429 Å, 31.06 31.06 31.06°
Closest atoms and distances in Å follow each position.
Atoms (fractional coordinates):
Se (0.7375, 0.7375, 0.7375)  3 Pr 3.01, 3 Tl 3.36
Se (0.2625, 0.2625, 0.2625)  3 Pr 3.01, 3 Tl 3.36
Tl (0.5000, 0.5000, 0.5000)  6 Se 3.36
Pr (0.0000, 0.0000, 0.0000)  6 Se 3.01

Output
Its crystal system is trigonal. The uncorrected formation energy is -1.38 eV/atom. As for the space-group type: R-3m, No. 166.

| no. | theoretical density (g/cm³) |
| --- | --- |
| 1 | 4.90 |
| 2 | 9.05 |
| 3 | 8.14 |
| 4 | 5.05 |
| 5 | 5.74 |
| 6 | 8.18 |
| 7 | 6.37 |
| 8 | 4.45 |
| 9 | 6.55 |